# PBE-GGA BaPaNiSe4, optimized geometry
# Formation energy without anion corrections: -1.290 eV/atom
# DOS(E_F): 0.21 states/eV/atom
# Calculated total energy: -80.34 eV per cell
# Mass density: 6.96 g/cm³
data_BaPaNiSe4
_chemical_formula_sum 'Ba2 Pa2 Ni2 Se8'
_space_group_name_H-M_alt 'P 1 21/m 1'
_space_group_IT_number 11
_cell_length_a 6.817
_cell_length_b 6.077
_cell_length_c 8.952
_cell_angle_alpha 90.00
_cell_angle_beta 107.20
_cell_angle_gamma 90.00
loop_
_space_group_symop_operation_xyz
'x,y,z'
'-x,-y,-z'
'-x,y+1/2,-z'
'x,-y+1/2,z'
loop_
_atom_site_label
_atom_site_fract_x
_atom_site_fract_y
_atom_site_fract_z
_atom_site_occupancy
Ba1 0.249 0.250 0.058 1
Pa1 0.265 0.250 0.557 1
Ni1 0.246 0.750 0.337 1
Se1 0.018 0.509 0.714 1
Se2 0.429 0.750 0.597 1
Se3 0.432 0.750 0.150 1



# PBE-GGA Cd2HPt4, optimized geometry
# DOS(E_F): 0.41 states/eV/atom
# Calculated total energy: -60.06 eV per cell
# Mass density: 14.82 g/cm³
data_Cd2HPt4
_chemical_formula_sum 'Cd4 H2 Pt8'
_space_group_name_H-M_alt 'P 1 21/m 1'
_space_group_IT_number 11
_cell_length_a 5.288
_cell_length_b 5.535
_cell_length_c 7.801
_cell_angle_alpha 90.00
_cell_angle_beta 99.01
_cell_angle_gamma 90.00
loop_
_space_group_symop_operation_xyz
'x,y,z'
'-x,-y,-z'
'-x,y+1/2,-z'
'x,-y+1/2,z'
loop_
_atom_site_label
_atom_site_fract_x
_atom_site_fract_y
_atom_site_fract_z
_atom_site_occupancy
Cd1 0.156 0.250 0.386 1
Cd2 0.206 0.750 0.063 1
H1 0.166 0.250 0.823 1
Pt1 0.312 0.504 0.729 1
Pt2 0.319 0.250 0.047 1
Pt3 0.339 0.750 0.435 1



# PBE-GGA Pm2Mn2Cu15, optimized geometry
# DOS(E_F): 0.60 states/eV/atom
# Calculated total energy: -271.41 eV per cell
# Mass density: 8.25 g/cm³
# Formation energy: -0.062 eV per atom
data_Pm2Mn2Cu15
_chemical_formula_sum 'Pm6 Mn6 Cu45'
_space_group_name_H-M_alt 'R -3 m'
_space_group_IT_number 166
_space_group_name_Hall '-R 3 2"'
_cell_length_a 8.6329
_cell_length_b 8.6329
_cell_length_c 12.6520
_cell_angle_alpha 90.00
_cell_angle_beta 90.00
_cell_angle_gamma 120.00
loop_
_atom_site_label
_atom_site_fract_x
_atom_site_fract_y
_atom_site_fract_z
_atom_site_occupancy
Pm1 0.0000 0.0000 0.1570 1
Mn1 0.0000 0.0000 0.4022 1
Cu1 0.0000 0.2925 0.5000 1
Cu2 0.0000 0.5000 0.0000 1
Cu3 0.0006 0.5003 0.3466 1